{
  "formula": "Ca2TlHg6",
  "functional": "GGA-PBE",
  "state": "optimized geometry",
  "lattice_angstrom": [[4.273, -4.451, 0.000], [4.273, 4.451, 0.000], [-0.301, 0.000, 6.226]],
  "species": ["Ca", "Ca", "Tl", "Hg", "Hg", "Hg", "Hg", "Hg", "Hg"],
  "fractional_positions": [[0.178, 0.178, 0.178], [0.822, 0.822, 0.822], [0.500, 0.500, 0.500], [0.002, 0.670, 0.332], [0.330, 0.998, 0.668], [0.332, 0.668, 0.000], [0.668, 0.332, 0.000], [0.670, 0.002, 0.332], [0.998, 0.330, 0.668]],
  "volume_a3_per_atom": 26.3,
  "e_above_lowest_polymorph_ev_per_fu": 0.00,
  "formation_energy_mev_per_atom": -314,
  "e_tot_ev_per_atom": -1.223
}